Entry 1:
Density functional theory data (PBE-GGA) for CaCrRh2 after structural relaxation.

abc: 5.099 5.099 5.099
angles: 133.89 133.89 67.26
Atoms (fractional coordinates):
Rh 0.250 0.750 0.500
Rh 0.000 0.000 0.000
Ca 0.500 0.500 0.000
Cr 0.750 0.250 0.500

formation energy from the elements: 145.8 meV per atom
energy above the most stable polymorph in this dataset: 1.06 eV/f.u.



Entry 2:
Density functional theory data (PBE-GGA) for CaCrRh3 after structural relaxation.

abc: 4.536 4.536 4.536
angles: 90.00 90.00 90.00
Atoms (fractional coordinates):
Cr 0.000 0.000 0.000
Ca 0.500 0.500 0.500
Rh 0.000 0.500 0.000
Rh 0.500 0.000 0.000
Rh 0.000 0.000 0.500

formation energy from the elements: 185.3 meV per atom



Entry 3:
Density functional theory data (PBE-GGA) for Ca3CrRh after structural relaxation.

abc: 5.442 5.442 5.442
angles: 90.00 90.00 90.00
Atoms (fractional coordinates):
Cr 0.500 0.500 0.500
Ca 0.000 0.000 0.500
Ca 0.500 0.000 0.000
Ca 0.000 0.500 0.000
Rh 0.000 0.000 0.000

formation energy from the elements: 220.9 meV per atom
energy above the most stable polymorph in this dataset: 0.00 eV/f.u.



Entry 4:
Density functional theory data (PBE-GGA) for CaCrRh2 after structural relaxation.

abc: 2.892 3.952 6.126
angles: 90.00 90.00 90.00
Atoms (fractional coordinates):
Ca 0.000 0.000 0.478
Rh 0.000 0.000 0.969
Rh 0.500 0.500 0.224
Cr 0.500 0.500 0.830

formation energy from the elements: 145.1 meV per atom
energy above the most stable polymorph in this dataset: 1.05 eV/f.u.



Entry 5:
Density functional theory data (PBE-GGA) for Ca2CrRh2 after structural relaxation.

abc: 6.424 6.424 4.754
angles: 90.00 90.00 90.00
Atoms (fractional coordinates):
Cr 0.000 0.000 0.000
Cr 0.500 0.500 0.000
Rh 0.645 0.145 0.000
Rh 0.855 0.645 0.000
Rh 0.355 0.855 0.000
Rh 0.145 0.355 0.000
Ca 0.177 0.677 0.500
Ca 0.823 0.323 0.500
Ca 0.677 0.823 0.500
Ca 0.323 0.177 0.500

formation energy from the elements: -17.3 meV per atom



Entry 6:
Density functional theory data (PBE-GGA) for CaCr2Rh2 after structural relaxation.

abc: 7.520 7.520 2.747
angles: 90.00 90.00 90.00
Atoms (fractional coordinates):
Cr 0.604 0.104 0.000
Cr 0.896 0.604 0.000
Cr 0.104 0.396 0.000
Cr 0.396 0.896 0.000
Ca 0.500 0.500 0.000
Ca 0.000 0.000 0.000
Rh 0.678 0.822 0.500
Rh 0.178 0.678 0.500
Rh 0.322 0.178 0.500
Rh 0.822 0.322 0.500

formation energy from the elements: 47.4 meV per atom
energy above the most stable polymorph in this dataset: 0.00 eV/f.u.



- Which value of formation energy from the elements does entry 1 give?
  145.8 meV per atom



- Among the records above, which one has the highest formation energy from the elements?
  Ca3CrRh